(1)
Compound: Nd2Sm3YTm6
Source: the Alexandria database
Functional: PBE
Structure: optimized geometry

Summary:
- formation enthalpy at 0 K (eV/atom) = 0.019
- uncorrected energy (eV per atom) = -4.730
- space group = C2/m (12)
- size of the total moment (μB/f.u.) = 0.000

Unit cell a=6.180 b=6.180 c=11.720 alpha=95.03 beta=95.03 gamma=119.98
Element x y z (fractional)
1 Y 0.000 0.000 0.000
2 Tm 0.916 0.582 0.749
3 Tm 0.751 0.751 0.251
4 Nd 0.334 0.666 0.000
5 Tm 0.418 0.084 0.251
6 Sm 0.833 0.167 0.500
7 Sm 0.500 0.500 0.500
8 Tm 0.084 0.418 0.251
9 Tm 0.582 0.916 0.749
10 Tm 0.249 0.249 0.749
11 Nd 0.666 0.334 0.000
12 Sm 0.167 0.833 0.500

***

(2)
Compound: Rb2AlGeS4
Source: the Alexandria database
Functional: PBE
Structure: optimized geometry

Summary:
- formation energy from raw total energies (eV/atom) = -0.934
- uncorrected energy (eV per atom) = -4.285
- space group = Fddd (70)
- size of the total moment (μB/f.u.) = 0.378

Unit cell a=6.032 b=7.620 c=12.202 alpha=84.38 beta=75.69 gamma=66.68
Element x y z (fractional)
1 Rb 0.571 0.500 0.858
2 S 0.559 0.315 0.604
3 Ge 0.250 0.500 0.500
4 S 0.126 0.315 0.396
5 S 0.913 0.815 0.896
6 S 0.272 0.815 0.104
7 S 0.191 0.185 0.896
8 Rb 0.821 0.000 0.358
9 Rb 0.179 0.000 0.642
10 S 0.478 0.685 0.396
11 Ge 0.500 0.000 0.000
12 S 0.837 0.685 0.604
13 Al 0.750 0.500 0.500
14 S 0.624 0.185 0.104
15 Rb 0.929 0.500 0.142
16 Al 0.000 0.000 0.000

***

(3)
Compound: Mn2NiAg
Source: the Alexandria database
Functional: PBE
Structure: optimized geometry

Summary:
- formation enthalpy at 0 K (eV/atom) = 0.274
- uncorrected energy (eV per atom) = -6.469
- polymorph energy (0 for the lowest one) (meV/atom) = 126
- space group = R-3m (166)
- size of the total moment (μB/f.u.) = 7.754

Unit cell a=8.736 b=8.736 c=8.736 alpha=18.34 beta=18.34 gamma=18.34
Element x y z (fractional)
1 Ag 0.750 0.750 0.750
2 Ni 0.250 0.250 0.250
3 Mn 0.992 0.992 0.992
4 Mn 0.508 0.508 0.508

***

(4)
Compound: SrTe7
Source: the Alexandria database
Functional: PBE
Structure: optimized geometry

Summary:
- formation energy from raw total energies (eV/atom) = -0.084
- uncorrected energy (eV per atom) = -3.043
- space group = Fm-3m (225)
- size of the total moment (μB/f.u.) = 0.000

Unit cell a=6.947 b=6.947 c=6.947 alpha=60.00 beta=60.00 gamma=60.00
Element x y z (fractional)
1 Te 0.500 0.500 0.500
2 Te 0.500 0.000 0.000
3 Te 0.000 0.000 0.500
4 Te 0.500 0.500 0.000
5 Te 0.000 0.500 0.000
6 Te 0.000 0.500 0.500
7 Sr 0.000 0.000 0.000
8 Te 0.500 0.000 0.500

***

(5)
Compound: Mn2Fe2Si
Source: the Alexandria database
Functional: PBE
Structure: optimized geometry

Summary:
- formation energy from raw total energies (eV/atom) = -0.140
- uncorrected energy (eV per atom) = -8.278
- space group = C2/m (12)
- size of the total moment (μB/f.u.) = 5.495

Unit cell a=4.021 b=3.919 c=10.335 alpha=53.18 beta=78.78 gamma=59.14
Element x y z (fractional)
1 Mn 0.650 0.753 0.447
2 Si 0.750 0.250 0.750
3 Fe 0.050 0.752 0.649
4 Mn 0.850 0.747 0.053
5 Fe 0.950 0.248 0.351
6 Fe 0.550 0.252 0.149
7 Mn 0.350 0.247 0.553
8 Si 0.250 0.750 0.250
9 Fe 0.450 0.748 0.851
10 Mn 0.150 0.253 0.947

***

(6)
Compound: MgAl2Co3
Source: the Alexandria database
Functional: PBE
Structure: optimized geometry

Summary:
- formation enthalpy at 0 K (eV/atom) = -0.362
- uncorrected energy (eV per atom) = -5.429
- space group = P4/mmm (123)
- size of the total moment (μB/f.u.) = 0.000

Unit cell a=2.892 b=2.892 c=8.807 alpha=90.00 beta=90.00 gamma=90.00
Element x y z (fractional)
1 Al 0.500 0.500 0.836
2 Mg 0.500 0.500 0.500
3 Co 0.000 0.000 0.686
4 Al 0.500 0.500 0.164
5 Co 0.000 0.000 0.314
6 Co 0.000 0.000 0.000